Density functional theory data (PBE+U) for a geometry-optimized Ag3MoF8 structure.

Values from the calculation:
Uncorrected energy ... -101.08 eV/cell
Crystal system ... orthorhombic

abc: 5.7419 11.2171 7.6118
angles: 90.00 90.00 90.00
Last column: nearest neighbours and their distance in Å.
Space group C222 (No. 21)
Unique sites:
1 Ag 0.0000 0.0000 0.0000  2 F 2.14
2 Ag 0.2500 0.2500 0.7784  2 F 2.31
3 Mo 0.0000 0.0000 0.5000  6 F 1.92-1.97
4 F 0.0000 0.1755 0.5000  1 Mo 1.97
5 F 0.0000 0.1906 0.0000  3 Ag 2.14-2.31
6 F 0.2393 0.0075 0.6758  1 Mo 1.92